# PBE-GGA BaTc, optimized geometry
data_BaTc
_chemical_formula_sum 'Ba4 Tc4'
_cell_length_a 9.8179
_cell_length_b 3.9668
_cell_length_c 6.6109
_cell_angle_alpha 90.00
_cell_angle_beta 90.00
_cell_angle_gamma 90.00
_symmetry_space_group_name_H-M 'P n m a'
_symmetry_Int_Tables_number 62
_symmetry_space_group_name_Hall '-P 2ac 2n'
loop_
_atom_site_label
_atom_site_type_symbol
_atom_site_fract_x
_atom_site_fract_y
_atom_site_fract_z
Ba1 Ba 0.1805 0.2500 0.1013
Tc1 Tc 0.0283 0.2500 0.5833
# Energy above the lowest structure with this stoichiometry, meV per atom: 239.7
# Total moment, μB per atom: 0.000